# PmFeC

A geometry-optimized PmFeC structure (GGA-PBE, Alexandria via LeMat-Bulk).

Geometry as CIF:
```
data_PmFeC
_chemical_formula_sum 'Pm1 Fe1 C1'
_space_group_name_H-M_alt 'P 1'
_space_group_IT_number 1
_space_group_name_Hall 'P 1'
_cell_length_a 2.897
_cell_length_b 2.897
_cell_length_c 5.405
_cell_angle_alpha 105.54
_cell_angle_beta 105.54
_cell_angle_gamma 90.00
loop_
_atom_site_label
_atom_site_type_symbol
_atom_site_fract_x
_atom_site_fract_y
_atom_site_fract_z
C1 C 0.728 0.728 0.455
Pm1 Pm 0.000 0.000 0.999
Fe1 Fe 0.273 0.273 0.546
```

Values from the calculation:
- calculated density (g/cm3) = 8.4
- E_form (kJ/mol of formula units) = 172
- space group = I4mm (107)
- excess energy over the best structure of this formula in the dataset (meV/atom) = 784.8